Entry P
SrAcCuPt | PBE | optimized geometry Values from VASP.

```
&SYSTEM
  ibrav = 0, nat = 4, ntyp = 4
/
ATOMIC_SPECIES
Sr 87.62 Sr.upf
Ac 227.00 Ac.upf
Cu 63.55 Cu.upf
Pt 195.08 Pt.upf
CELL_PARAMETERS angstrom
5.304 0.000 0.000
2.652 4.593 0.000
2.652 1.531 4.331
ATOMIC_POSITIONS angstrom
Sr 5.304 3.062 2.165
Ac 0.000 0.000 0.000
Cu 2.652 1.531 1.083
Pt 7.956 4.593 3.248
```

- space-group type = F-43m
- M_tot (Bohr magnetons per cell) = 0.00



Entry Q
SrAcCuPt | PBE | optimized geometry Values from VASP.

```
&SYSTEM
  ibrav = 0, nat = 4, ntyp = 4
/
ATOMIC_SPECIES
Sr 87.62 Sr.upf
Ac 227.00 Ac.upf
Cu 63.55 Cu.upf
Pt 195.08 Pt.upf
CELL_PARAMETERS angstrom
-0.895 -2.406 3.431
3.950 1.009 1.738
-1.929 5.901 0.959
ATOMIC_POSITIONS angstrom
Sr -0.676 1.336 0.761
Ac -0.222 2.760 4.554
Cu 1.221 -0.093 2.929
Pt -2.020 3.994 2.274
```

- space-group type = Amm2
- M_tot (Bohr magnetons per cell) = 0.00



Stability order, top to bottom: entry Q, entry P